Computed, not measured: CoO4 after structural relaxation at the PBE+U level of DFT.

Properties
space group = Cm (8)
spin magnetization = 1.93 μB/cell
VASP energy = -25.41 eV/cell
crystal system = monoclinic

Cell lengths 4.7339, 4.7339, 5.0166 Å; angles 117.50, 117.50, 32.91 degrees
Last column: nearest neighbours and their distance in Å.
Fractional coordinates of all 5 atoms:
Co 0.0000 0.0000 0.0000  4 O 1.80
O 0.0565 0.0565 0.4703  1 O 1.25
O 0.3518 0.3518 0.9170  2 Co 1.80
O 0.6483 0.6483 0.0815  2 Co 1.80
O 0.9373 0.9373 0.5284  1 O 1.25